1.
Material: HoZnPt
Method: DFT, PBE
State: optimized geometry

Summary:
crystal system = hexagonal
energy relative to the elements = -879 meV per atom
space group = No. 187
E_tot = -4.8431 eV/atom
D(E_F) = 0.850 states/eV per atom

a = 3.482 Å, b = 4.438 Å, c = 4.438 Å
α = 120.00°, β = 90.00°, γ = 90.00°
Fractional positions:
Zn: 0.167 0.667 0.333
Ho: 0.666 0.333 0.667
Pt: 0.167 0.000 0.000


2.
Material: K2Cu2Pb
Method: DFT, PBE
State: optimized geometry

Summary:
crystal system = tetragonal
energy relative to the elements = 557 meV per atom
space group = No. 139
E_tot = -2.2619 eV/atom
D(E_F) = 0.634 states/eV per atom

a = 4.605 Å, b = 4.605 Å, c = 7.645 Å
α = 72.47°, β = 72.47°, γ = 90.00°
Fractional positions:
Pb: 0.000 0.000 0.000
K: 0.750 0.250 0.500
K: 0.250 0.750 0.500
Cu: 0.416 0.416 0.168
Cu: 0.584 0.584 0.832


3.
Material: Sc2SiPb
Method: DFT, PBE
State: optimized geometry

Summary:
crystal system = trigonal
ΔE_f (raw) = 0.4 eV/f.u.
space group = No. 160
E_tot = -5.3606 eV/atom
D(E_F) = 0.962 states/eV per atom

a = 9.880 Å, b = 9.880 Å, c = 9.880 Å
α = 19.43°, β = 19.43°, γ = 19.43°
Site moments in Bohr magnetons follow the coordinates.
Fractional positions:
Pb: 0.756 0.756 0.756  0.01
Sc: 0.998 0.998 0.998  0.26
Sc: 0.243 0.243 0.243  0.21
Si: 0.503 0.503 0.503  0.00


What is the E_tot in the third record?
-5.3606 eV/atom